4
Lattice="-1.9642 -0.7333 -2.0423 -1.1188 -0.2507 2.6930 -2.8503 8.6816 -0.3759" Properties=species:S:1:pos:R:3 comment="CdSiAg2 | Alexandria via LeMat-Bulk | PBE | relaxed" raw_formation_energy_ev_per_atom=0.2070 dos_at_fermi_per_ev_cell=0.56 spacegroup="Cmmm (65)" pbc="T T T"
Si -3.6792 6.0192 0.0434
Cd -2.2541 1.6784 0.2314
Ag -2.8079 8.5526 -0.3703
Ag -1.4675 4.4698 -0.1936